Density functional theory data (PBE with a Hubbard U) for an optimized crystal structure of NiPtF2.

Computed properties:
Its energy above the most stable polymorph in this dataset is 1088 meV per atom. The magnetic moment comes out at 2.35 μB/f.u. Its crystal system is cubic. The raw total energy is -0.2329 Ry per atom. The density of states at the Fermi level is 0.995 states/eV/atom.

Lattice parameters (Å, degrees): 4.1599 4.1599 4.1599 60.00 60.00 60.00
Closest atoms and distances in Å follow each position.
Fractional positions:
Ni 0.0000 0.0000 0.0000  8 F 2.55
Pt 0.5000 0.5000 0.5000  8 F 2.55
F 0.2500 0.2500 0.2500  4 Pt 2.55, 4 Ni 2.55
F 0.7500 0.7500 0.7500  4 Pt 2.55, 4 Ni 2.55